LiGaNi2Te (GGA-PBE, optimized geometry); formation energy without anion corrections = 241.2 meV per atom; density = 5.96 Mg/m³; spin magnetization = 0.00 μB/f.u.
1.0
4.4255 0.0000 0.0000
0.0000 4.4255 0.0000
0.0000 0.0000 4.5735
Li Ga Ni Te
1 1 2 1
Cartesian
0.0000 0.0000 0.0000
0.0000 0.0000 2.2868
0.0000 2.2128 2.2868
2.2128 0.0000 2.2868
2.2128 2.2128 0.0000